Entry 1
Density functional theory data (PBE) for a relaxed ZnInSe3 crystal.

The structure belongs to space group Pm-3m (No. 221); the cell edges are 5.018, 5.018 and 5.018 Å and the angles 90.00°, 90.00° and 90.00°. The distinct sites, in fractional coordinates, are Zn at (0.000, 0.000, 0.000), In at (0.500, 0.500, 0.500) and Se at (0.000, 0.000, 0.500).

Entry 2
Density functional theory data (PBE) for a relaxed ZnInSe3 crystal.

The structure belongs to space group C2/c (No. 15); the cell edges are 13.928, 9.443 and 7.929 Å and the angles 90.00°, 106.52° and 90.00°. The distinct sites, in fractional coordinates, are Zn at (0.227, 0.075, 0.257), In at (0.000, 0.151, 0.750), In at (0.000, 0.411, 0.250), Se at (0.093, 0.357, 0.618), Se at (0.127, 0.025, 0.465) and Se at (0.161, 0.324, 0.157).

Entry 3
Density functional theory data (PBE) for a relaxed ZnInSe3 crystal.

The structure belongs to space group Pm-3m (No. 221); the cell edges are 5.298, 5.298 and 5.298 Å and the angles 90.00°, 90.00° and 90.00°. The distinct sites, in fractional coordinates, are Zn at (0.000, 0.000, 0.000), In at (0.500, 0.500, 0.500) and Se at (0.000, 0.500, 0.500).

Least stable = entry 3